No. 1
VASP calculation (GGA-PBE) on a geometry-optimized Tb6Dy8Th structure.

```
data_Tb6Dy8Th
_cell_length_a 8.624
_cell_length_b 8.624
_cell_length_c 8.624
_cell_angle_alpha 63.12
_cell_angle_beta 63.12
_cell_angle_gamma 63.12
_symmetry_space_group_name_H-M 'P 1'
_symmetry_Int_Tables_number 1
_symmetry_space_group_name_Hall 'P 1'
loop_
_atom_site_label
_atom_site_type_symbol
_atom_site_fract_x
_atom_site_fract_y
_atom_site_fract_z
Tb1 Tb 0.037 0.732 0.604
Tb2 Tb 0.268 0.396 0.963
Tb3 Tb 0.396 0.963 0.268
Tb4 Tb 0.604 0.037 0.732
Tb5 Tb 0.732 0.604 0.037
Tb6 Tb 0.963 0.268 0.396
Dy1 Dy 0.077 0.077 0.077
Dy2 Dy 0.220 0.250 0.612
Dy3 Dy 0.250 0.612 0.220
Dy4 Dy 0.388 0.780 0.750
Dy5 Dy 0.612 0.220 0.250
Dy6 Dy 0.750 0.388 0.780
Dy7 Dy 0.780 0.750 0.388
Dy8 Dy 0.923 0.923 0.923
Th1 Th 0.500 0.500 0.500
```

Magnetic moment: 0.0 μB per cell
E: -70.2 eV per cell
Calculated volume: 485 Å³ per cell
Fermi-level density of states: 1.511 states/eV/atom


No. 2
VASP calculation (GGA-PBE) on a geometry-optimized TlOsC3 structure.

```
data_TlOsC3
_cell_length_a 4.218
_cell_length_b 4.218
_cell_length_c 4.218
_cell_angle_alpha 90.00
_cell_angle_beta 90.00
_cell_angle_gamma 90.00
_symmetry_space_group_name_H-M 'P 1'
_symmetry_Int_Tables_number 1
_symmetry_space_group_name_Hall 'P 1'
loop_
_atom_site_label
_atom_site_type_symbol
_atom_site_fract_x
_atom_site_fract_y
_atom_site_fract_z
Tl1 Tl 0.000 0.000 0.000
Os1 Os 0.500 0.500 0.500
C1 C 0.000 0.000 0.500
C2 C 0.000 0.500 0.000
C3 C 0.500 0.000 0.000
```

Magnetic moment: 0.0 μB per cell
Energy above the most stable polymorph in this dataset: 1125 kJ/mol of formula units
Calculated volume: 75 Å³ per cell
Fermi-level density of states: 1.068 states/eV/atom


No. 3
VASP calculation (GGA-PBE) on a geometry-optimized B2C structure.

```
data_B2C
_cell_length_a 4.864
_cell_length_b 2.772
_cell_length_c 6.434
_cell_angle_alpha 90.00
_cell_angle_beta 103.10
_cell_angle_gamma 90.00
_symmetry_space_group_name_H-M 'P 1'
_symmetry_Int_Tables_number 1
_symmetry_space_group_name_Hall 'P 1'
loop_
_atom_site_label
_atom_site_type_symbol
_atom_site_fract_x
_atom_site_fract_y
_atom_site_fract_z
B1 B 0.012 0.250 0.088
B2 B 0.075 0.750 0.649
B3 B 0.284 0.750 0.080
B4 B 0.297 0.250 0.330
B5 B 0.703 0.750 0.670
B6 B 0.716 0.250 0.920
B7 B 0.925 0.250 0.351
B8 B 0.988 0.750 0.912
C1 C 0.218 0.250 0.603
C2 C 0.466 0.750 0.305
C3 C 0.534 0.250 0.695
C4 C 0.782 0.750 0.397
```

Magnetic moment: 0.0 μB per cell
Energy above the most stable polymorph in this dataset: 52 kJ/mol of formula units
Calculated volume: 85 Å³ per cell
Fermi-level density of states: 0.057 states/eV/atom


No. 4
VASP calculation (GGA-PBE) on a geometry-optimized NpCu2S3 structure.

```
data_NpCu2S3
_cell_length_a 6.710
_cell_length_b 3.876
_cell_length_c 9.414
_cell_angle_alpha 90.00
_cell_angle_beta 99.81
_cell_angle_gamma 90.00
_symmetry_space_group_name_H-M 'P 1'
_symmetry_Int_Tables_number 1
_symmetry_space_group_name_Hall 'P 1'
loop_
_atom_site_label
_atom_site_type_symbol
_atom_site_fract_x
_atom_site_fract_y
_atom_site_fract_z
Np1 Np 0.162 0.250 0.177
Np2 Np 0.838 0.750 0.823
Cu1 Cu 0.217 0.250 0.846
Cu2 Cu 0.401 0.750 0.421
Cu3 Cu 0.599 0.250 0.579
Cu4 Cu 0.783 0.750 0.154
S1 S 0.050 0.750 0.340
S2 S 0.232 0.750 0.980
S3 S 0.472 0.750 0.674
S4 S 0.528 0.250 0.326
S5 S 0.768 0.250 0.020
S6 S 0.950 0.250 0.660
```

Uncorrected formation energy: -0.699 eV/atom
Magnetic moment: 6.0 μB per cell
Calculated volume: 241 Å³ per cell
Fermi-level density of states: 1.374 states/eV/atom


No. 5
VASP calculation (GGA-PBE) on a geometry-optimized AlV2Ir3 structure.

```
data_AlV2Ir3
_cell_length_a 2.808
_cell_length_b 2.808
_cell_length_c 10.580
_cell_angle_alpha 90.00
_cell_angle_beta 90.00
_cell_angle_gamma 90.00
_symmetry_space_group_name_H-M 'P 1'
_symmetry_Int_Tables_number 1
_symmetry_space_group_name_Hall 'P 1'
loop_
_atom_site_label
_atom_site_type_symbol
_atom_site_fract_x
_atom_site_fract_y
_atom_site_fract_z
Al1 Al 0.000 0.000 0.000
V1 V 0.000 0.000 0.328
V2 V 0.000 0.000 0.672
Ir1 Ir 0.500 0.500 0.161
Ir2 Ir 0.500 0.500 0.500
Ir3 Ir 0.500 0.500 0.839
```

Magnetic moment: 0.0 μB per cell
E: -52.4 eV per cell
Calculated volume: 83 Å³ per cell
Fermi-level density of states: 1.147 states/eV/atom


No. 6
VASP calculation (GGA-PBE) on a geometry-optimized ZrTe2W structure.

```
data_ZrTe2W
_cell_length_a 5.183
_cell_length_b 5.183
_cell_length_c 5.129
_cell_angle_alpha 103.53
_cell_angle_beta 103.53
_cell_angle_gamma 40.04
_symmetry_space_group_name_H-M 'P 1'
_symmetry_Int_Tables_number 1
_symmetry_space_group_name_Hall 'P 1'
loop_
_atom_site_label
_atom_site_type_symbol
_atom_site_fract_x
_atom_site_fract_y
_atom_site_fract_z
Zr1 Zr 0.000 0.000 0.000
Te1 Te 0.261 0.261 0.865
Te2 Te 0.496 0.496 0.482
W1 W 0.765 0.765 0.321
```

Uncorrected formation energy: 0.006 eV/atom
Magnetic moment: 0.0 μB per cell
Energy above the most stable polymorph in this dataset: 52 kJ/mol of formula units
Calculated volume: 86 Å³ per cell
Fermi-level density of states: 0.419 states/eV/atom


No. 7
VASP calculation (GGA-PBE) on a geometry-optimized LiErGaGe structure.

```
data_LiErGaGe
_cell_length_a 4.807
_cell_length_b 4.807
_cell_length_c 4.807
_cell_angle_alpha 60.00
_cell_angle_beta 60.00
_cell_angle_gamma 60.00
_symmetry_space_group_name_H-M 'P 1'
_symmetry_Int_Tables_number 1
_symmetry_space_group_name_Hall 'P 1'
loop_
_atom_site_label
_atom_site_type_symbol
_atom_site_fract_x
_atom_site_fract_y
_atom_site_fract_z
Li1 Li 0.000 0.000 0.000
Er1 Er 0.500 0.500 0.500
Ga1 Ga 0.250 0.250 0.250
Ge1 Ge 0.750 0.750 0.750
```

Magnetic moment: 0.0 μB per cell
E: -15.8 eV per cell
Calculated volume: 79 Å³ per cell
Fermi-level density of states: 0.539 states/eV/atom


No. 8
VASP calculation (GGA-PBE) on a geometry-optimized HoTaSe4 structure.

```
data_HoTaSe4
_cell_length_a 9.657
_cell_length_b 9.657
_cell_length_c 6.594
_cell_angle_alpha 103.62
_cell_angle_beta 103.62
_cell_angle_gamma 132.46
_symmetry_space_group_name_H-M 'P 1'
_symmetry_Int_Tables_number 1
_symmetry_space_group_name_Hall 'P 1'
loop_
_atom_site_label
_atom_site_type_symbol
_atom_site_fract_x
_atom_site_fract_y
_atom_site_fract_z
Ho1 Ho 0.070 0.930 0.750
Ho2 Ho 0.930 0.070 0.250
Ta1 Ta 0.420 0.580 0.250
Ta2 Ta 0.580 0.420 0.750
Se1 Se 0.083 0.426 0.214
Se2 Se 0.235 0.322 0.772
Se3 Se 0.322 0.235 0.272
Se4 Se 0.426 0.083 0.714
Se5 Se 0.574 0.917 0.286
Se6 Se 0.678 0.765 0.728
Se7 Se 0.765 0.678 0.228
Se8 Se 0.917 0.574 0.786
```

Uncorrected formation energy: -1.100 eV/atom
Magnetic moment: 0.0 μB per cell
Calculated volume: 368 Å³ per cell


No. 9
VASP calculation (GGA-PBE) on a geometry-optimized RbSi structure.

```
data_RbSi
_cell_length_a 6.665
_cell_length_b 6.665
_cell_length_c 5.736
_cell_angle_alpha 115.35
_cell_angle_beta 115.35
_cell_angle_gamma 72.60
_symmetry_space_group_name_H-M 'P 1'
_symmetry_Int_Tables_number 1
_symmetry_space_group_name_Hall 'P 1'
loop_
_atom_site_label
_atom_site_type_symbol
_atom_site_fract_x
_atom_site_fract_y
_atom_site_fract_z
Rb1 Rb 0.245 0.245 0.244
Rb2 Rb 0.755 0.755 0.756
Si1 Si 0.135 0.865 0.500
Si2 Si 0.865 0.135 0.500
```

Uncorrected formation energy: 0.197 eV/atom
Magnetic moment: 0.0 μB per cell
Energy above the most stable polymorph in this dataset: 47 kJ/mol of formula units
Calculated volume: 206 Å³ per cell


No. 10
VASP calculation (GGA-PBE) on a geometry-optimized Sm2Be15Ni2 structure.

```
data_Sm2Be15Ni2
_cell_length_a 5.948
_cell_length_b 5.948
_cell_length_c 5.948
_cell_angle_alpha 82.75
_cell_angle_beta 82.75
_cell_angle_gamma 82.75
_symmetry_space_group_name_H-M 'P 1'
_symmetry_Int_Tables_number 1
_symmetry_space_group_name_Hall 'P 1'
loop_
_atom_site_label
_atom_site_type_symbol
_atom_site_fract_x
_atom_site_fract_y
_atom_site_fract_z
Sm1 Sm 0.157 0.157 0.157
Sm2 Sm 0.843 0.843 0.843
Be1 Be 0.000 0.500 0.500
Be2 Be 0.169 0.169 0.650
Be3 Be 0.169 0.650 0.169
Be4 Be 0.230 0.500 0.770
Be5 Be 0.230 0.770 0.500
Be6 Be 0.350 0.831 0.831
Be7 Be 0.500 0.000 0.500
Be8 Be 0.500 0.230 0.770
Be9 Be 0.500 0.500 0.000
Be10 Be 0.500 0.770 0.230
Be11 Be 0.650 0.169 0.169
Be12 Be 0.770 0.230 0.500
Be13 Be 0.770 0.500 0.230
Be14 Be 0.831 0.350 0.831
Be15 Be 0.831 0.831 0.350
Ni1 Ni 0.397 0.397 0.397
Ni2 Ni 0.603 0.603 0.603
```

Magnetic moment: 0.0 μB per cell
E: -80.0 eV per cell
Calculated volume: 206 Å³ per cell
Fermi-level density of states: 0.448 states/eV/atom


No. 11
VASP calculation (GGA-PBE) on a geometry-optimized BeZn2Pt structure.

```
data_BeZn2Pt
_cell_length_a 2.861
_cell_length_b 3.660
_cell_length_c 5.115
_cell_angle_alpha 90.00
_cell_angle_beta 90.00
_cell_angle_gamma 90.00
_symmetry_space_group_name_H-M 'P 1'
_symmetry_Int_Tables_number 1
_symmetry_space_group_name_Hall 'P 1'
loop_
_atom_site_label
_atom_site_type_symbol
_atom_site_fract_x
_atom_site_fract_y
_atom_site_fract_z
Be1 Be 0.000 0.000 0.000
Zn1 Zn 0.500 0.500 0.240
Zn2 Zn 0.500 0.500 0.760
Pt1 Pt 0.000 0.000 0.500
```

Magnetic moment: 0.0 μB per cell
E: -13.1 eV per cell
Calculated volume: 54 Å³ per cell
Fermi-level density of states: 0.291 states/eV/atom


No. 12
VASP calculation (GGA-PBE) on a geometry-optimized Cr3Mo2 structure.

```
data_Cr3Mo2
_cell_length_a 6.514
_cell_length_b 5.132
_cell_length_c 7.439
_cell_angle_alpha 59.07
_cell_angle_beta 42.52
_cell_angle_gamma 78.41
_symmetry_space_group_name_H-M 'P 1'
_symmetry_Int_Tables_number 1
_symmetry_space_group_name_Hall 'P 1'
loop_
_atom_site_label
_atom_site_type_symbol
_atom_site_fract_x
_atom_site_fract_y
_atom_site_fract_z
Cr1 Cr 0.000 0.000 0.000
Cr2 Cr 0.250 0.250 0.250
Cr3 Cr 0.281 0.383 0.494
Cr4 Cr 0.383 0.281 0.842
Cr5 Cr 0.408 0.756 0.867
Cr6 Cr 0.756 0.408 0.969
Mo1 Mo 0.353 0.798 0.543
Mo2 Mo 0.707 0.944 0.897
Mo3 Mo 0.798 0.353 0.306
Mo4 Mo 0.944 0.707 0.452
```

Magnetic moment: 0.0 μB per cell
Energy above the most stable polymorph in this dataset: 0 kJ/mol of formula units
Calculated volume: 137 Å³ per cell
Fermi-level density of states: 1.070 states/eV/atom